[1]
A relaxed CdSbP crystal. Source: the Alexandria database, functional PBE-GGA.

```
CdSbP
1.0
6.3035 0.0283 -0.0309
5.2895 3.3627 -0.0886
1.0140 0.2336 3.3267
P Sb Cd
1 1 1
Direct
0.6889 0.6889 0.3111
0.2977 0.2977 0.7023
0.0134 0.0134 0.9866
```

distance to the lowest polymorph of the same formula: 29.4 kJ per mole of atoms
Fermi-level density of states: 1.2 states/eV/cell
space group: Fmm2, No. 42
formation energy from raw total energies: 0.9 eV per formula unit

---

[2]
A relaxed Pr2NdAg crystal. Source: the Alexandria database, functional PBE-GGA.

```
Pr2NdAg
1.0
-0.5929 3.3002 -1.5868
0.8477 -2.3316 -5.1661
-5.5934 -1.1883 -0.3815
Nd Ag Pr
1 1 2
Direct
0.5000 0.5000 0.5000
0.5000 0.0000 0.0000
0.0000 0.0000 0.5000
0.0000 0.5000 0.0000
```

distance to the lowest polymorph of the same formula: 8.8 kJ per mole of atoms
Fermi-level density of states: 4.9 states/eV/cell
space group: P4/mmm, No. 123

---

[3]
A relaxed KPPdO2 crystal. Source: the Alexandria database, functional PBE-GGA.

```
KPPdO2
1.0
-3.3135 1.5809 -2.3394
0.4511 -3.2642 -2.8448
-4.0840 -3.5280 3.4005
Pd O K P
1 2 1 1
Direct
0.5000 0.5000 0.5000
0.5000 0.0000 0.0000
0.0000 0.5000 0.0000
0.0000 0.0000 0.0000
0.0000 0.0000 0.5000
```

distance to the lowest polymorph of the same formula: 124.0 kJ per mole of atoms
Fermi-level density of states: 4.5 states/eV/cell
space group: P4/mmm, No. 123
formation energy from raw total energies: 6.8 eV per formula unit

---

[4]
A relaxed CrAs2RhBr crystal. Source: the Alexandria database, functional PBE-GGA.

```
CrAs2RhBr
1.0
-1.4079 1.5441 4.0790
-4.3139 0.1385 -1.5414
-0.7057 -4.7367 1.5495
Rh Br As Cr
1 1 2 1
Direct
0.5000 0.5000 0.5000
0.0000 0.0000 0.5000
0.0000 0.5000 0.0000
0.5000 0.0000 0.0000
0.0000 0.0000 0.0000
```

distance to the lowest polymorph of the same formula: 32.8 kJ per mole of atoms
Fermi-level density of states: 5.1 states/eV/cell
space group: P4/mmm, No. 123
formation energy from raw total energies: 3.7 eV per formula unit

---

[5]
A relaxed Pm3W2C4N2 crystal. Source: the Alexandria database, functional PBE-GGA.

```
Pm3W2C4N2
1.0
-1.2190 -3.2094 -2.0537
-0.0865 -2.1324 3.3837
-9.1405 5.4358 0.8272
Pm N C W
3 2 4 2
Direct
0.0000 0.0000 0.0000
0.8166 0.8166 0.6333
0.1834 0.1834 0.3667
0.6993 0.6993 0.3986
0.3007 0.3007 0.6014
0.5858 0.0858 0.1717
0.0858 0.5858 0.1717
0.9142 0.4142 0.8283
0.4142 0.9142 0.8283
0.6064 0.6064 0.2129
0.3936 0.3936 0.7871
```

Fermi-level density of states: 5.3 states/eV/cell
space group: I4/mmm, No. 139
formation energy from raw total energies: -3.8 eV per formula unit

---

[6]
A relaxed HoEr2Tc crystal. Source: the Alexandria database, functional PBE-GGA.

```
HoEr2Tc
1.0
-1.5747 -0.9845 2.8905
2.7011 -1.9659 0.8020
3.6254 6.7211 4.2644
Ho Er Tc
1 2 1
Direct
0.5000 0.5000 0.5000
0.0000 0.0000 0.1860
0.0000 0.0000 0.8140
0.5000 0.5000 0.0000
```

distance to the lowest polymorph of the same formula: 12.3 kJ per mole of atoms
Fermi-level density of states: 6.0 states/eV/cell
space group: P4/mmm, No. 123